(1)
Computed, not measured: an optimized crystal structure of La3SiPt3 at the PBE level of DFT.

Lattice parameters (Å, degrees): 4.239 5.905 14.381 86.12 81.52 68.96
Fractional positions:
La 0.525 0.337 0.614
La 0.475 0.663 0.386
La 0.254 0.260 0.232
La 0.746 0.740 0.768
La 0.400 0.277 0.923
La 0.600 0.723 0.077
Si 0.761 0.075 0.403
Si 0.239 0.925 0.597
Pt 0.851 0.752 0.546
Pt 0.149 0.248 0.454
Pt 0.129 0.820 0.923
Pt 0.871 0.180 0.077
Pt 0.957 0.843 0.243
Pt 0.043 0.157 0.757

Values from the calculation:
The mass density comes out at 10.296 g/cm³. For the total energy, the calculation gives -0.242 Ha/atom. The density of states at the Fermi level is 0.82 states/eV/atom.

=====

(2)
Computed, not measured: an optimized crystal structure of LaSi3Pt2 at the PBE level of DFT.

Lattice parameters (Å, degrees): 4.203 4.203 12.908 99.37 99.37 90.00
Fractional positions:
La 0.852 0.852 0.704
La 0.148 0.148 0.296
Si 0.453 0.953 0.907
Si 0.953 0.453 0.907
Si 0.547 0.047 0.093
Si 0.306 0.306 0.611
Si 0.694 0.694 0.389
Si 0.047 0.547 0.093
Pt 0.250 0.750 0.500
Pt 0.750 0.250 0.500
Pt 0.405 0.405 0.810
Pt 0.595 0.595 0.190

Values from the calculation:
The mass density comes out at 9.179 g/cm³. For the total energy, the calculation gives -0.236 Ha/atom. The density of states at the Fermi level is 0.67 states/eV/atom.

=====

(3)
Computed, not measured: an optimized crystal structure of LaSi4Pt2 at the PBE level of DFT.

Lattice parameters (Å, degrees): 4.245 6.709 17.257 90.00 90.00 90.00
Fractional positions:
La 0.750 0.974 0.649
La 0.250 0.026 0.351
La 0.250 0.474 0.851
La 0.750 0.526 0.149
Si 0.250 0.274 0.686
Si 0.750 0.726 0.314
Si 0.750 0.774 0.814
Si 0.250 0.226 0.186
Si 0.250 0.657 0.669
Si 0.750 0.343 0.331
Si 0.750 0.157 0.831
Si 0.250 0.843 0.169
Si 0.250 0.135 0.539
Si 0.750 0.865 0.461
Si 0.750 0.635 0.961
Si 0.250 0.365 0.039
Si 0.250 0.455 0.442
Si 0.750 0.545 0.558
Si 0.750 0.955 0.058
Si 0.250 0.045 0.942
Pt 0.250 0.754 0.521
Pt 0.750 0.246 0.479
Pt 0.750 0.254 0.979
Pt 0.250 0.746 0.021
Pt 0.250 0.974 0.802
Pt 0.750 0.026 0.198
Pt 0.750 0.474 0.698
Pt 0.250 0.526 0.302

Values from the calculation:
The mass density comes out at 8.668 g/cm³. For the total energy, the calculation gives -0.228 Ha/atom. The density of states at the Fermi level is 0.37 states/eV/atom.

=====

(4)
Computed, not measured: an optimized crystal structure of La2Si3Pt2 at the PBE level of DFT.

Lattice parameters (Å, degrees): 4.398 7.009 9.361 90.00 103.59 90.00
Fractional positions:
La 0.154 0.250 0.308
La 0.846 0.750 0.692
La 0.944 0.250 0.888
La 0.056 0.750 0.112
Si 0.226 0.750 0.453
Si 0.774 0.250 0.547
Si 0.559 0.428 0.119
Si 0.441 0.572 0.881
Si 0.441 0.928 0.881
Si 0.559 0.072 0.119
Pt 0.692 0.953 0.383
Pt 0.308 0.047 0.617
Pt 0.308 0.453 0.617
Pt 0.692 0.547 0.383

Values from the calculation:
The mass density comes out at 8.907 g/cm³. For the total energy, the calculation gives -0.236 Ha/atom. The density of states at the Fermi level is 0.43 states/eV/atom.

=====

(5)
Computed, not measured: an optimized crystal structure of LaSiPt at the PBE level of DFT.

Lattice parameters (Å, degrees): 4.627 4.627 4.627 60.00 60.00 60.00
Fractional positions:
La 0.000 0.000 0.000
Pt 0.500 0.500 0.500
Si 0.250 0.250 0.250

Values from the calculation:
The mass density comes out at 8.586 g/cm³. For the total energy, the calculation gives -0.220 Ha/atom. The density of states at the Fermi level is 1.58 states/eV/atom.

=====

(6)
Computed, not measured: an optimized crystal structure of La3Si4Pt7 at the PBE level of DFT.

Lattice parameters (Å, degrees): 4.151 8.246 8.430 71.67 75.75 75.42
Fractional positions:
La 0.330 0.173 0.168
La 0.670 0.827 0.832
La 0.000 0.500 0.500
Si 0.669 0.441 0.220
Si 0.331 0.559 0.780
Si 0.890 0.894 0.326
Si 0.110 0.106 0.674
Pt 0.304 0.846 0.546
Pt 0.493 0.256 0.758
Pt 0.831 0.424 0.915
Pt 0.696 0.154 0.454
Pt 0.169 0.576 0.085
Pt 0.000 0.000 0.000
Pt 0.507 0.744 0.242

Values from the calculation:
The mass density comes out at 12.069 g/cm³. For the total energy, the calculation gives -0.245 Ha/atom. The density of states at the Fermi level is 0.42 states/eV/atom.

=====

(7)
Computed, not measured: an optimized crystal structure of LaSiPt6 at the PBE level of DFT.

Lattice parameters (Å, degrees): 5.573 5.573 6.850 66.00 66.00 60.00
Fractional positions:
La 0.500 0.500 0.500
Si 0.000 0.000 0.000
Pt 0.917 0.917 0.730
Pt 0.435 0.917 0.730
Pt 0.083 0.565 0.270
Pt 0.565 0.083 0.270
Pt 0.083 0.083 0.270
Pt 0.917 0.435 0.730

Values from the calculation:
The mass density comes out at 13.657 g/cm³. For the total energy, the calculation gives -0.234 Ha/atom. The density of states at the Fermi level is 0.62 states/eV/atom.

=====

(8)
Computed, not measured: an optimized crystal structure of LaSiPt2 at the PBE level of DFT.

Lattice parameters (Å, degrees): 3.585 3.585 6.326 90.00 90.00 90.00
Fractional positions:
La 0.500 0.500 0.774
Pt 0.000 0.000 0.023
Pt 0.500 0.500 0.302
Si 0.000 0.000 0.401

Values from the calculation:
The mass density comes out at 11.380 g/cm³. For the total energy, the calculation gives -0.232 Ha/atom. The density of states at the Fermi level is 0.50 states/eV/atom.

=====

(9)
Computed, not measured: an optimized crystal structure of La8SiPt2 at the PBE level of DFT.

Lattice parameters (Å, degrees): 6.687 7.963 7.963 114.84 102.63 102.63
Fractional positions:
La 0.603 0.359 0.093
La 0.603 0.093 0.359
La 0.178 0.356 0.356
La 0.973 0.197 0.801
La 0.973 0.801 0.197
La 0.794 0.657 0.657
La 0.349 0.912 0.643
La 0.349 0.643 0.912
Si 0.207 0.008 0.008
Pt 0.486 0.690 0.318
Pt 0.486 0.318 0.690

Values from the calculation:
The mass density comes out at 7.222 g/cm³. For the total energy, the calculation gives -0.208 Ha/atom. The density of states at the Fermi level is 1.23 states/eV/atom.

=====

(10)
Computed, not measured: an optimized crystal structure of La5Si2Pt2 at the PBE level of DFT.

Lattice parameters (Å, degrees): 7.896 7.945 8.743 90.00 63.16 90.00
Fractional positions:
La 0.000 0.000 0.000
La 0.500 0.500 0.000
La 0.467 0.167 0.717
La 0.816 0.833 0.717
La 0.316 0.667 0.717
La 0.967 0.333 0.717
La 0.533 0.833 0.283
La 0.184 0.167 0.283
La 0.684 0.333 0.283
La 0.033 0.667 0.283
Si 0.112 0.388 0.000
Si 0.888 0.612 0.000
Si 0.388 0.888 0.000
Si 0.612 0.112 0.000
Pt 0.197 0.000 0.605
Pt 0.697 0.500 0.605
Pt 0.803 0.000 0.395
Pt 0.303 0.500 0.395

Values from the calculation:
The mass density comes out at 7.743 g/cm³. For the total energy, the calculation gives -0.226 Ha/atom. The density of states at the Fermi level is 1.04 states/eV/atom.

=====

(11)
Computed, not measured: an optimized crystal structure of La3Si3Pt at the PBE level of DFT.

Lattice parameters (Å, degrees): 4.146 4.402 9.816 102.96 102.19 90.00
Fractional positions:
La 0.316 0.816 0.633
La 0.684 0.184 0.369
La 0.001 0.001 0.002
Si 0.138 0.638 0.277
Si 0.861 0.361 0.723
Si 0.563 0.563 0.126
Pt 0.435 0.435 0.870

Values from the calculation:
The mass density comes out at 6.782 g/cm³. For the total energy, the calculation gives -0.228 Ha/atom. The density of states at the Fermi level is 0.72 states/eV/atom.

=====

(12)
Computed, not measured: an optimized crystal structure of LaSi3Pt6 at the PBE level of DFT.

Lattice parameters (Å, degrees): 6.342 6.342 6.437 90.00 119.51 120.00
Fractional positions:
La 0.856 0.928 0.783
Si 0.621 0.311 0.932
Si 0.380 0.690 0.070
Si 0.276 0.138 0.414
Pt 0.247 0.380 0.708
Pt 0.109 0.694 0.226
Pt 0.811 0.117 0.226
Pt 0.328 0.867 0.708
Pt 0.841 0.460 0.708
Pt 0.532 0.415 0.226

Values from the calculation:
The mass density comes out at 12.550 g/cm³. For the total energy, the calculation gives -0.241 Ha/atom. The density of states at the Fermi level is 0.35 states/eV/atom.